No. 1
Computed, not measured: a relaxed structure of EuBOs at the PBE level of DFT.

a b c (Å): 3.6601 3.6601 4.5610
angles (deg): 90.00 90.00 120.00
Fractional coordinates of all 3 atoms:
Eu 0.0000 0.0000 0.0000
B 0.3333 0.6667 0.5000
Os 0.6667 0.3333 0.5000

Output
Polymorph energy (0 for the lowest one), meV per atom: 0
N(E_F), states/eV/f.u.: 5.545
Magnetic moment, μB/f.u.: 6.9
SG: P-6m2, No. 187

***

No. 2
Computed, not measured: a relaxed structure of CeErCuRh at the PBE level of DFT.

a b c (Å): 4.9057 4.9057 4.9057
angles (deg): 60.00 60.00 60.00
Fractional coordinates of all 4 atoms:
Ce 0.0000 0.0000 0.0000
Er 0.5000 0.5000 0.5000
Cu 0.7500 0.7500 0.7500
Rh 0.2500 0.2500 0.2500

Output
N(E_F), states/eV/f.u.: 5.671
Magnetic moment, μB/f.u.: 0.4
SG: F-43m, No. 216

***

No. 3
Computed, not measured: a relaxed structure of LiAl4Zn at the PBE level of DFT.

a b c (Å): 5.3604 5.3604 5.3604
angles (deg): 60.00 60.00 60.00
Fractional coordinates of all 6 atoms:
Li 0.0000 0.0000 0.0000
Al 0.1237 0.6254 0.6254
Al 0.6254 0.1237 0.6254
Al 0.6254 0.6254 0.1237
Al 0.6254 0.6254 0.6254
Zn 0.2500 0.2500 0.2500

Output
Polymorph energy (0 for the lowest one), meV per atom: 143
N(E_F), states/eV/f.u.: 3.190
Magnetic moment, μB/f.u.: 0.0
SG: F-43m, No. 216

***

| no. | energy relative to the elements (eV per atom) |
| --- | --- |
| 1 | -0.126 |
| 2 | -0.471 |
| 3 | 0.097 |